! GGA-PBEsol LiAl2Mo2, optimized geometry; values from VASP
&SYSTEM
  ibrav = 0, nat = 10, ntyp = 3
/
ATOMIC_SPECIES
Mo 95.94 Mo.upf
Al 26.98 Al.upf
Li 6.94 Li.upf
ATOMIC_POSITIONS crystal
Mo 0.5000 0.1630 0.6630
Mo 0.5000 0.6630 0.8370
Mo 0.5000 0.8370 0.3370
Mo 0.5000 0.3370 0.1630
Al 0.0000 0.3648 0.8648
Al 0.0000 0.8648 0.6352
Al 0.0000 0.6352 0.1352
Al 0.0000 0.1352 0.3648
Li 0.0000 0.0000 0.0000
Li 0.0000 0.5000 0.5000
CELL_PARAMETERS angstrom
3.4395 0.0000 0.0000
0.0000 6.6377 0.0000
0.0000 0.0000 6.6377
! **SG**: No. 127
! **ΔE_f**: 110 kJ/mol of formula units


! GGA-PBEsol LiAl3Mo, optimized geometry; values from VASP
&SYSTEM
  ibrav = 0, nat = 5, ntyp = 3
/
ATOMIC_SPECIES
Mo 95.94 Mo.upf
Al 26.98 Al.upf
Li 6.94 Li.upf
ATOMIC_POSITIONS crystal
Mo 0.0000 0.0000 0.0000
Al 0.0000 0.5000 0.0000
Al 0.0000 0.0000 0.5000
Al 0.5000 0.0000 0.0000
Li 0.5000 0.5000 0.5000
CELL_PARAMETERS angstrom
4.8309 0.0000 0.0000
0.0000 4.8309 0.0000
0.0000 0.0000 4.8309
! **SG**: No. 221
! **ΔE_f**: 202 kJ/mol of formula units


! GGA-PBEsol LiAlMo2, optimized geometry; values from VASP
&SYSTEM
  ibrav = 0, nat = 4, ntyp = 3
/
ATOMIC_SPECIES
Al 26.98 Al.upf
Li 6.94 Li.upf
Mo 95.94 Mo.upf
ATOMIC_POSITIONS crystal
Al 0.5000 0.5000 0.0000
Li 0.5000 0.5000 0.5000
Mo 0.9802 0.0000 0.7485
Mo 0.0198 0.0000 0.2515
CELL_PARAMETERS angstrom
2.6240 0.0000 0.0029
0.0000 4.3397 0.0000
-0.9817 0.0000 5.1023
! **SG**: No. 10
! **ΔE_f**: 56 kJ/mol of formula units


! GGA-PBEsol Li2Al2Mo, optimized geometry; values from VASP
&SYSTEM
  ibrav = 0, nat = 5, ntyp = 3
/
ATOMIC_SPECIES
Mo 95.94 Mo.upf
Al 26.98 Al.upf
Li 6.94 Li.upf
ATOMIC_POSITIONS crystal
Mo 0.0000 0.0000 0.0000
Al 0.4054 0.4054 0.8108
Al 0.5946 0.5946 0.1892
Li 0.2500 0.7500 0.5000
Li 0.7500 0.2500 0.5000
CELL_PARAMETERS angstrom
-2.2259 1.2978 2.2471
2.0273 -0.9783 2.5732
3.1591 5.5219 -2.6607
! **SG**: No. 139
! **ΔE_f**: 80 kJ/mol of formula units


! GGA-PBEsol LiAlMo2O8, optimized geometry; values from VASP
&SYSTEM
  ibrav = 0, nat = 24, ntyp = 4
/
ATOMIC_SPECIES
Li 6.94 Li.upf
Al 26.98 Al.upf
Mo 95.94 Mo.upf
O 16.00 O.upf
ATOMIC_POSITIONS crystal
Li 0.7319 0.5544 0.2410
Li 0.2681 0.4456 0.7590
Al 0.0935 0.9009 0.1753
Al 0.9065 0.0991 0.8247
Mo 0.8367 0.5779 0.7920
Mo 0.1633 0.4221 0.2080
Mo 0.3202 0.9641 0.7197
Mo 0.6798 0.0359 0.2803
O 0.8166 0.8699 0.2237
O 0.1834 0.1301 0.7763
O 0.9185 0.8467 0.8876
O 0.0815 0.1533 0.1124
O 0.5909 0.4840 0.8341
O 0.4091 0.5160 0.1659
O 0.2449 0.4269 0.4653
O 0.7551 0.5731 0.5347
O 0.7478 0.0463 0.5444
O 0.2522 0.9537 0.4556
O 0.7872 0.2770 0.2343
O 0.2128 0.7230 0.7657
O 0.0249 0.6254 0.1489
O 0.9751 0.3746 0.8511
O 0.3811 0.9500 0.1509
O 0.6189 0.0500 0.8491
CELL_PARAMETERS angstrom
-4.4903 4.7375 1.0657
-3.4790 -5.2502 -3.2040
0.8475 -3.9796 5.8001
! **Energy relative to the elements, uncorrected**: -2.2650 eV/atom
! **SG**: No. 2


! GGA-PBEsol Rb3Li2AlMo4O16, optimized geometry; values from VASP
&SYSTEM
  ibrav = 0, nat = 52, ntyp = 5
/
ATOMIC_SPECIES
Rb 85.47 Rb.upf
Li 6.94 Li.upf
Al 26.98 Al.upf
Mo 95.94 Mo.upf
O 16.00 O.upf
ATOMIC_POSITIONS crystal
Rb 0.4873 0.8750 0.1123
Rb 0.7627 0.3750 0.8877
Rb 0.1250 0.2373 0.6123
Rb 0.6250 0.5127 0.3877
Rb 0.2500 0.7500 0.5000
Rb 0.0000 0.0000 0.0000
Li 0.0004 0.8750 0.6254
Li 0.2496 0.3750 0.3746
Li 0.1250 0.7504 0.1254
Li 0.6250 0.9996 0.8746
Al 0.7500 0.2500 0.5000
Al 0.5000 0.5000 0.0000
Mo 0.8701 0.8335 0.2453
Mo 0.5882 0.6248 0.7547
Mo 0.1665 0.4118 0.0366
Mo 0.3799 0.1252 0.4634
Mo 0.3752 0.1299 0.9634
Mo 0.6618 0.9165 0.5366
Mo 0.0835 0.6201 0.7453
Mo 0.8748 0.3382 0.2547
O 0.0145 0.6897 0.6169
O 0.0729 0.3976 0.3831
O 0.3103 0.9271 0.3247
O 0.2355 0.3524 0.1753
O 0.6024 0.9855 0.6753
O 0.1771 0.0603 0.8247
O 0.9397 0.7645 0.1169
O 0.6476 0.8229 0.8831
O 0.9992 0.8876 0.4411
O 0.4465 0.5580 0.5589
O 0.1124 0.5535 0.1115
O 0.2508 0.1920 0.3885
O 0.4420 0.0008 0.8885
O 0.8035 0.8624 0.6115
O 0.1376 0.7492 0.9411
O 0.8080 0.1965 0.0589
O 0.7540 0.6213 0.7483
O 0.8730 0.0057 0.2517
O 0.3787 0.1270 0.1327
O 0.4960 0.7443 0.3673
O 0.9943 0.2460 0.8673
O 0.3770 0.1287 0.6327
O 0.8713 0.5040 0.2483
O 0.2557 0.6230 0.7517
O 0.6607 0.6833 0.1694
O 0.5139 0.4914 0.8306
O 0.3167 0.4861 0.9774
O 0.5893 0.2586 0.5226
O 0.5086 0.3393 0.0226
O 0.7361 0.0667 0.4774
O 0.9333 0.4107 0.6694
O 0.7414 0.2639 0.3306
CELL_PARAMETERS angstrom
-7.8800 2.8500 5.8198
7.5387 -3.4766 5.9304
3.3252 8.0100 -5.3730
! **Energy relative to the elements, uncorrected**: -2.1920 eV/atom
! **SG**: No. 122


! GGA-PBEsol LiAlTcMo2, optimized geometry; values from VASP
&SYSTEM
  ibrav = 0, nat = 5, ntyp = 4
/
ATOMIC_SPECIES
Mo 95.94 Mo.upf
Li 6.94 Li.upf
Tc 98.00 Tc.upf
Al 26.98 Al.upf
ATOMIC_POSITIONS crystal
Mo 0.0000 0.0000 0.5000
Mo 0.0000 0.5000 0.0000
Li 0.5000 0.0000 0.0000
Tc 0.0000 0.0000 0.0000
Al 0.5000 0.5000 0.5000
CELL_PARAMETERS angstrom
4.4301 0.0000 0.0000
0.0000 4.5664 0.0000
0.0000 0.0000 4.5664
! **SG**: No. 123
! **ΔE_f**: 643 kJ/mol of formula units


! GGA-PBEsol Li3AlN2, optimized geometry; values from VASP
&SYSTEM
  ibrav = 0, nat = 48, ntyp = 3
/
ATOMIC_SPECIES
Al 26.98 Al.upf
Li 6.94 Li.upf
N 14.01 N.upf
ATOMIC_POSITIONS crystal
Al 0.7311 0.0000 0.0000
Al 0.7689 0.7689 0.2689
Al 0.0000 0.5000 0.2311
Al 0.5000 0.7311 0.5000
Al 0.2689 0.0000 0.0000
Al 0.2311 0.2311 0.7311
Al 0.0000 0.5000 0.7689
Al 0.5000 0.2689 0.5000
Li 0.0278 0.0404 0.2649
Li 0.4722 0.7371 0.0126
Li 0.2245 0.4596 0.4874
Li 0.2755 0.7629 0.2351
Li 0.7629 0.7351 0.7755
Li 0.4596 0.9874 0.7245
Li 0.7371 0.5126 0.9722
Li 0.0404 0.7649 0.5278
Li 0.9874 0.2245 0.9596
Li 0.7351 0.2755 0.2629
Li 0.7649 0.0278 0.5404
Li 0.5126 0.4722 0.2371
Li 0.9722 0.9596 0.7351
Li 0.5278 0.2629 0.9874
Li 0.7755 0.5404 0.5126
Li 0.7245 0.2371 0.7649
Li 0.2371 0.2649 0.2245
Li 0.5404 0.0126 0.2755
Li 0.2629 0.4874 0.0278
Li 0.9596 0.2351 0.4722
Li 0.0126 0.7755 0.0404
Li 0.2649 0.7245 0.7371
Li 0.2351 0.9722 0.4596
Li 0.4874 0.5278 0.7629
N 0.5000 0.0000 0.0000
N 0.0000 0.0000 0.5000
N 0.0000 0.5000 0.0000
N 0.5000 0.5000 0.5000
N 0.7176 0.9676 0.7500
N 0.7824 0.5324 0.2500
N 0.9676 0.2500 0.2176
N 0.5324 0.7500 0.2824
N 0.7500 0.7824 0.0324
N 0.2500 0.7176 0.4676
N 0.2824 0.0324 0.2500
N 0.2176 0.4676 0.7500
N 0.0324 0.7500 0.7824
N 0.4676 0.2500 0.7176
N 0.2500 0.2176 0.9676
N 0.7500 0.2824 0.5324
CELL_PARAMETERS angstrom
8.1636 0.0000 0.0000
-2.7212 7.6967 0.0000
-2.7212 -3.8484 6.6655
! **Energy relative to the elements, uncorrected**: -0.9401 eV/atom
! **SG**: No. 206


! GGA-PBEsol LiAl3N, optimized geometry; values from VASP
&SYSTEM
  ibrav = 0, nat = 5, ntyp = 3
/
ATOMIC_SPECIES
N 14.01 N.upf
Al 26.98 Al.upf
Li 6.94 Li.upf
ATOMIC_POSITIONS crystal
N 0.5000 0.5000 0.5000
Al 0.0000 0.5000 0.0000
Al 0.0000 0.0000 0.5000
Al 0.5000 0.0000 0.0000
Li 0.0000 0.0000 0.0000
CELL_PARAMETERS angstrom
-2.5987 0.1434 3.3823
3.3778 -0.1736 2.6026
0.2250 4.2618 -0.0078
! **Energy relative to the elements, uncorrected**: 1.3041 eV/atom
! **SG**: No. 221


! GGA-PBEsol LiAlN2, optimized geometry; values from VASP
&SYSTEM
  ibrav = 0, nat = 4, ntyp = 3
/
ATOMIC_SPECIES
N 14.01 N.upf
Al 26.98 Al.upf
Li 6.94 Li.upf
ATOMIC_POSITIONS crystal
N 0.2500 0.2500 0.2500
N 0.7500 0.7500 0.7500
Al 0.0000 0.0000 0.0000
Li 0.5000 0.5000 0.5000
CELL_PARAMETERS angstrom
3.5423 0.0000 0.0000
1.7711 3.0677 0.0000
1.7711 1.0226 2.8922
! **Energy relative to the elements, uncorrected**: 0.0474 eV/atom
! **SG**: No. 225


! GGA-PBEsol Sr4Li2Ta2Al2N8O, optimized geometry; values from VASP
&SYSTEM
  ibrav = 0, nat = 38, ntyp = 6
/
ATOMIC_SPECIES
Sr 87.62 Sr.upf
Li 6.94 Li.upf
Ta 180.95 Ta.upf
Al 26.98 Al.upf
N 14.01 N.upf
O 16.00 O.upf
ATOMIC_POSITIONS crystal
Sr 0.4933 0.9268 0.7580
Sr 0.9933 0.4268 0.7420
Sr 0.5067 0.0732 0.2420
Sr 0.0067 0.5732 0.2580
Sr 0.5334 0.2981 0.9352
Sr 0.0334 0.7981 0.5648
Sr 0.4666 0.7019 0.0648
Sr 0.9666 0.2019 0.4352
Li 0.1948 0.0046 0.0118
Li 0.6948 0.5046 0.4882
Li 0.8052 0.9954 0.9882
Li 0.3052 0.4954 0.5118
Ta 0.4634 0.2374 0.5977
Ta 0.9634 0.7374 0.9023
Ta 0.5366 0.7626 0.4023
Ta 0.0366 0.2626 0.0977
Al 0.9831 0.0953 0.7523
Al 0.4831 0.5953 0.7477
Al 0.0169 0.9047 0.2477
Al 0.5169 0.4047 0.2523
N 0.2171 0.0935 0.6290
N 0.7171 0.5935 0.8710
N 0.7829 0.9065 0.3710
N 0.2829 0.4065 0.1290
N 0.7387 0.1698 0.6661
N 0.2387 0.6698 0.8339
N 0.2613 0.8302 0.3339
N 0.7613 0.3302 0.1661
N 0.9087 0.9077 0.8035
N 0.4087 0.4077 0.6965
N 0.0913 0.0923 0.1965
N 0.5913 0.5923 0.3035
N 0.0239 0.2023 0.9118
N 0.5239 0.7023 0.5882
N 0.9761 0.7977 0.0882
N 0.4761 0.2977 0.4118
O 0.5000 0.0000 0.0000
O 0.0000 0.5000 0.5000
CELL_PARAMETERS angstrom
5.9914 -0.0294 0.0000
-0.5886 9.3081 0.0000
0.0000 0.0000 9.9668
! **Energy relative to the elements, uncorrected**: -1.4041 eV/atom
! **SG**: No. 14


! GGA-PBEsol NaLi3Al, optimized geometry; values from VASP
&SYSTEM
  ibrav = 0, nat = 5, ntyp = 3
/
ATOMIC_SPECIES
Na 22.99 Na.upf
Al 26.98 Al.upf
Li 6.94 Li.upf
ATOMIC_POSITIONS crystal
Na 0.5000 0.5000 0.5000
Al 0.0000 0.0000 0.0000
Li 0.0000 0.5000 0.0000
Li 0.0000 0.0000 0.5000
Li 0.5000 0.0000 0.0000
CELL_PARAMETERS angstrom
-4.5770 2.3053 -0.2535
-0.4164 -1.3685 -4.9276
-2.2815 -4.3749 1.4078
! **SG**: No. 221
! **ΔE_f**: 112 kJ/mol of formula units


DOS at the Fermi energy, record by record: 10.73 2.67 2.27 4.05 0.00 0.00 5.94 0.00 1.86 1.85 0.00 3.97 states/eV/cell